Here is a relaxed LiCd2Se2 crystal from the Alexandria database. Energies are from PBE-GGA.

For the energy above the lowest structure with this stoichiometry, the calculation gives 165.7 meV/atom. The calculation puts the raw formation energy at -0.3243 eV per atom.

abc: 5.314 5.314 9.147
angles: 90.00 90.00 90.00
Space group I4/mmm (No. 139)
Inequivalent atoms, fractional coordinates:
1 Li 0.000 0.000 0.000 (multiplicity 2)
2 Cd 0.000 0.000 0.346 (multiplicity 4)
3 Se 0.000 0.500 0.250 (multiplicity 4)

Here is a relaxed Pr2AgOsO8 crystal from the Alexandria database. Energies are from PBE-GGA.

The calculation puts the raw formation energy at -1.7498 eV per atom.

abc: 4.250 5.459 7.135
angles: 83.11 85.68 84.11
Space group P-1 (No. 2)
Inequivalent atoms, fractional coordinates:
1 Pr 0.185 0.012 0.236 (multiplicity 2)
2 Ag 0.500 0.500 0.000 (multiplicity 1)
3 Os 0.500 0.500 0.500 (multiplicity 1)
4 O 0.204 0.768 0.545 (multiplicity 2)
5 O 0.277 0.273 0.660 (multiplicity 2)
6 O 0.277 0.849 0.940 (multiplicity 2)
7 O 0.286 0.446 0.280 (multiplicity 2)

Here is a relaxed TeAs crystal from the Alexandria database. Energies are from PBE-GGA.

The calculation puts the raw formation energy at 0.4820 eV per atom.

abc: 8.109 8.109 8.109
angles: 90.00 90.00 90.00
Space group Pm-3n (No. 223)
Inequivalent atoms, fractional coordinates:
1 Te 0.000 0.250 0.500 (multiplicity 6)
2 As 0.000 0.500 0.250 (multiplicity 6)

Here is a relaxed Y3TlSe crystal from the Alexandria database. Energies are from PBE-GGA.

For the energy above the lowest structure with this stoichiometry, the calculation gives 275.5 meV/atom. The calculation puts the raw formation energy at -0.6194 eV per atom.

abc: 5.338 5.338 5.338
angles: 90.00 90.00 90.00
Space group Pm-3m (No. 221)
Inequivalent atoms, fractional coordinates:
1 Y 0.000 0.000 0.500 (multiplicity 3)
2 Tl 0.500 0.500 0.500 (multiplicity 1)
3 Se 0.000 0.000 0.000 (multiplicity 1)

Here is a relaxed Na3H4Pt crystal from the Alexandria database. Energies are from PBE-GGA.

The value obtained for the electronic total energy is -51.74 eV per cell.

abc: 8.093 5.308 4.836
angles: 90.00 90.00 90.00
Space group Pmn2_1 (No. 31)
Inequivalent atoms, fractional coordinates:
1 Na 0.000 0.245 0.000 (multiplicity 2)
2 Na 0.231 0.748 0.000 (multiplicity 4)
3 H 0.000 0.062 0.504 (multiplicity 2)
4 H 0.000 0.439 0.497 (multiplicity 2)
5 H 0.207 0.751 0.500 (multiplicity 4)
6 Pt 0.000 0.751 0.500 (multiplicity 2)

Here is a relaxed Ga2PdAuS crystal from the Alexandria database. Energies are from PBE-GGA.

The calculation puts the raw formation energy at 0.5195 eV per atom.

abc: 4.934 4.934 4.919
angles: 90.00 90.00 90.00
Space group P4/mmm (No. 123)
Inequivalent atoms, fractional coordinates:
1 Ga 0.000 0.500 0.000 (multiplicity 2)
2 Pd 0.000 0.000 0.500 (multiplicity 1)
3 Au 0.500 0.500 0.000 (multiplicity 1)
4 S 0.500 0.500 0.500 (multiplicity 1)

Here is a relaxed CaZrZn2 crystal from the Alexandria database. Energies are from PBE-GGA.

The calculation puts the energy of formation from the pure elements at 0.4 eV per formula unit.

abc: 4.164 4.164 9.770
angles: 90.00 90.00 90.00
Space group I-4m2 (No. 119)
Inequivalent atoms, fractional coordinates:
1 Ca 0.000 0.000 0.000 (multiplicity 2)
2 Zr 0.000 0.500 0.250 (multiplicity 2)
3 Zn 0.000 0.000 0.500 (multiplicity 2)
4 Zn 0.000 0.500 0.750 (multiplicity 2)

Here is a relaxed CrOsPb2 crystal from the Alexandria database. Energies are from PBE-GGA.

For the energy above the lowest structure with this stoichiometry, the calculation gives 1042.8 meV/atom. The calculation puts the energy of formation from the pure elements at 5.8 eV per formula unit.

abc: 7.620 7.620 5.835
angles: 90.00 90.00 90.00
Space group I-42d (No. 122)
Inequivalent atoms, fractional coordinates:
1 Cr 0.000 0.000 0.000 (multiplicity 4)
2 Os 0.000 0.000 0.500 (multiplicity 4)
3 Pb 0.245 0.250 0.625 (multiplicity 8)

Here is a relaxed LaGdAl crystal from the Alexandria database. Energies are from PBE-GGA.

For the energy above the lowest structure with this stoichiometry, the calculation gives 173.1 meV/atom. The calculation puts the energy of formation from the pure elements at -0.2 eV per formula unit.

abc: 5.3158 5.3158 3.2219
angles: 90.00 90.00 120.00
Space group P-6m2 (No. 187)
Inequivalent atoms, fractional coordinates:
1 La 0.0000 0.0000 0.0000 (multiplicity 1)
2 Gd 0.3333 0.6667 0.0000 (multiplicity 1)
3 Al 0.6667 0.3333 0.5000 (multiplicity 1)

Here is a relaxed Mg4Zr crystal from the Alexandria database. Energies are from PBE-GGA.

For the energy above the lowest structure with this stoichiometry, the calculation gives 0.0 meV/atom. The calculation puts the energy of formation from the pure elements at 0.0 eV per formula unit.

abc: 3.208 3.208 21.761
angles: 90.00 90.00 90.00
Space group I4/mmm (No. 139)
Inequivalent atoms, fractional coordinates:
1 Mg 0.000 0.000 0.100 (multiplicity 4)
2 Mg 0.000 0.000 0.300 (multiplicity 4)
3 Zr 0.000 0.000 0.500 (multiplicity 2)

Here is a relaxed ThAs2Pd crystal from the Alexandria database. Energies are from PBE-GGA.

The calculation puts the energy of formation from the pure elements at -3.1 eV per formula unit.

abc: 4.582 4.582 3.965
angles: 90.00 90.00 90.00
Space group P4/mmm (No. 123)
Inequivalent atoms, fractional coordinates:
1 Th 0.000 0.000 0.000 (multiplicity 1)
2 As 0.000 0.500 0.500 (multiplicity 2)
3 Pd 0.500 0.500 0.000 (multiplicity 1)

Here is a relaxed K2InOs crystal from the Alexandria database. Energies are from PBE-GGA.

The calculation puts the energy of formation from the pure elements at 4.5 eV per formula unit.

abc: 4.602 4.602 5.626
angles: 90.00 90.00 90.00
Space group P4/mmm (No. 123)
Inequivalent atoms, fractional coordinates:
1 K 0.000 0.000 0.243 (multiplicity 2)
2 In 0.500 0.500 0.500 (multiplicity 1)
3 Os 0.500 0.500 0.000 (multiplicity 1)

- Number 6 is which compound?
  Ga2PdAuS